Density functional theory data (PBE) for a relaxed structure of TaZn2GaOs.

Results
Total magnetic moment in μB/f.u.: 2.84
E_tot in eV per atom: -3.7966

Lattice parameters (Å, degrees): 4.8656 4.8656 4.9034 90.00 90.00 90.00
Space group P4/mmm (No. 123)
Symmetry-distinct sites (fractional):
Ta  0.0000  0.0000  0.0000 (multiplicity 1)
Zn  0.0000  0.5000  0.0000 (multiplicity 2)
Ga  0.0000  0.0000  0.5000 (multiplicity 1)
Os  0.5000  0.5000  0.5000 (multiplicity 1)